Compound: Y4U2Ru5
Source: Alexandria
Functional: PBE
Structure: relaxed

Results
Energy of formation in meV per atom: -255

a = 6.0836 Å, b = 8.7521 Å, c = 10.3805 Å
α = 114.93°, β = 107.04°, γ = 90.00°
Site moments in Bohr magnetons follow the coordinates.
Fractional coordinates of all 22 atoms:
Y 0.9438 0.1903 0.8876  0.01
Y 0.0562 0.8097 0.1124  0.01
Y 0.5562 0.3027 0.1124  0.01
Y 0.4438 0.6973 0.8876  0.01
Y 0.6362 0.0169 0.2725  0.03
Y 0.3638 0.9831 0.7275  0.03
Y 0.8638 0.7444 0.7275  0.03
Y 0.1362 0.2556 0.2725  0.03
U 0.9453 0.6953 0.3907  0.81
U 0.5547 0.3047 0.6093  0.81
U 0.0547 0.3047 0.6093  0.81
U 0.4453 0.6953 0.3907  0.81
Ru 0.2500 0.0000 0.0000  -0.02
Ru 0.7500 0.0000 0.0000  -0.02
Ru 0.5830 0.6455 0.1661  -0.09
Ru 0.4170 0.3545 0.8339  -0.09
Ru 0.9170 0.4795 0.8339  -0.09
Ru 0.0830 0.5205 0.1661  -0.09
Ru 0.7757 0.9468 0.5514  -0.09
Ru 0.2243 0.0532 0.4486  -0.09
Ru 0.2757 0.6045 0.5514  -0.09
Ru 0.7243 0.3955 0.4486  -0.09